# CaRh2W (PBE-GGA, optimized geometry)
# formation energy: 138 meV per atom
# total DFT energy (no corrections): -116.43 eV for the cell shown
# excess energy over the best structure of this formula in the dataset: 288 meV per atom
# N(E_F): 5.1 states/eV/f.u.
# V: 16.88 Å³ per atom
data_CaRh2W
_chemical_formula_sum 'Ca4 Rh8 W4'
_cell_length_a 6.4641
_cell_length_b 6.4641
_cell_length_c 6.4641
_cell_angle_alpha 90.00
_cell_angle_beta 90.00
_cell_angle_gamma 90.00
_space_group_name_H-M_alt 'F m -3 m'
_space_group_IT_number 225
_space_group_name_Hall '-F 4 2 3'
loop_
_atom_site_label
_atom_site_fract_x
_atom_site_fract_y
_atom_site_fract_z
Ca1 0.0000 0.0000 0.0000
Rh1 0.2500 0.2500 0.2500
W1 0.0000 0.0000 0.5000


# LiLuMgRu (PBE-GGA, optimized geometry)
# formation energy: -175 meV per atom
# total DFT energy (no corrections): -72.03 eV for the cell shown
# N(E_F): 1.5 states/eV/f.u.
# V: 18.15 Å³ per atom
data_LiLuMgRu
_chemical_formula_sum 'Li4 Lu4 Mg4 Ru4'
_cell_length_a 6.6218
_cell_length_b 6.6218
_cell_length_c 6.6218
_cell_angle_alpha 90.00
_cell_angle_beta 90.00
_cell_angle_gamma 90.00
_space_group_name_H-M_alt 'F -4 3 m'
_space_group_IT_number 216
_space_group_name_Hall 'F -4 2 3'
loop_
_atom_site_label
_atom_site_fract_x
_atom_site_fract_y
_atom_site_fract_z
Li1 0.0000 0.0000 0.0000
Lu1 0.2500 0.2500 0.2500
Mg1 0.2500 0.2500 0.7500
Ru1 0.0000 0.0000 0.5000


# Sr4TcNi (PBE-GGA, optimized geometry)
# formation energy: 1409 meV per atom
# total DFT energy (no corrections): -57.67 eV for the cell shown
# N(E_F): 11.3 states/eV/f.u.
# V: 35.68 Å³ per atom
data_Sr4TcNi
_chemical_formula_sum 'Sr16 Tc4 Ni4'
_cell_length_a 9.4958
_cell_length_b 9.4958
_cell_length_c 9.4958
_cell_angle_alpha 90.00
_cell_angle_beta 90.00
_cell_angle_gamma 90.00
_space_group_name_H-M_alt 'F -4 3 m'
_space_group_IT_number 216
_space_group_name_Hall 'F -4 2 3'
loop_
_atom_site_label
_atom_site_fract_x
_atom_site_fract_y
_atom_site_fract_z
Sr1 0.1245 0.1245 0.1245
Tc1 0.2500 0.2500 0.7500
Ni1 0.0000 0.0000 0.5000


# Nb2Os3Ru4 (PBE-GGA, optimized geometry)
# formation energy: 63 meV per atom
# total DFT energy (no corrections): -180.73 eV for the cell shown
# N(E_F): 7.3 states/eV/f.u.
# V: 15.25 Å³ per atom
data_Nb2Os3Ru4
_chemical_formula_sum 'Nb4 Os6 Ru8'
_cell_length_a 2.7617
_cell_length_b 9.1798
_cell_length_c 11.4697
_cell_angle_alpha 72.56
_cell_angle_beta 83.21
_cell_angle_gamma 83.38
_space_group_name_H-M_alt 'P -1'
_space_group_IT_number 2
loop_
_space_group_symop_operation_xyz
'x,y,z'
'-x,-y,-z'
loop_
_atom_site_label
_atom_site_fract_x
_atom_site_fract_y
_atom_site_fract_z
Nb1 0.1663 0.0815 0.0788
Nb2 0.2752 0.8164 0.7096
Os1 0.1588 0.1196 0.5175
Os2 0.2287 0.6275 0.9618
Os3 0.4392 0.9079 0.2828
Ru1 0.0014 0.6517 0.3530
Ru2 0.1571 0.4687 0.2058
Ru3 0.4064 0.6179 0.5778
Ru4 0.4282 0.2650 0.8607


# Pm2MgCu2O6 (PBE-GGA, optimized geometry)
# total DFT energy (no corrections): -208.93 eV for the cell shown
# N(E_F): 3.5 states/eV/f.u.
# raw formation energy: -1.873 eV/atom
# V: 13.52 Å³ per atom
data_Pm2MgCu2O6
_chemical_formula_sum 'Pm6 Mg3 Cu6 O18'
_cell_length_a 5.7384
_cell_length_b 5.7384
_cell_length_c 15.6400
_cell_angle_alpha 90.00
_cell_angle_beta 90.00
_cell_angle_gamma 120.00
_space_group_name_H-M_alt 'R -3 m'
_space_group_IT_number 166
_space_group_name_Hall '-R 3 2"'
loop_
_atom_site_label
_atom_site_fract_x
_atom_site_fract_y
_atom_site_fract_z
Pm1 0.0000 0.0000 0.2060
Mg1 0.0000 0.0000 0.0000
Cu1 0.0000 0.0000 0.4172
O1 0.0356 0.5178 0.7586


# CrTe2I (PBE-GGA, optimized geometry)
# total DFT energy (no corrections): -69.87 eV for the cell shown
# excess energy over the best structure of this formula in the dataset: 210 meV per atom
# N(E_F): 1.5 states/eV/f.u.
# raw formation energy: -0.003 eV/atom
# V: 35.34 Å³ per atom
data_CrTe2I
_chemical_formula_sum 'Cr4 Te8 I4'
_cell_length_a 11.1536
_cell_length_b 3.1376
_cell_length_c 16.1573
_cell_angle_alpha 90.00
_cell_angle_beta 90.00
_cell_angle_gamma 90.00
_space_group_name_H-M_alt 'P n m a'
_space_group_IT_number 62
loop_
_space_group_symop_operation_xyz
'x,y,z'
'-x,-y,-z'
'-x+1/2,-y,z+1/2'
'x+1/2,y,-z+1/2'
'x+1/2,-y+1/2,-z+1/2'
'-x+1/2,y+1/2,z+1/2'
'-x,y+1/2,-z'
'x,-y+1/2,z'
loop_
_atom_site_label
_atom_site_fract_x
_atom_site_fract_y
_atom_site_fract_z
Cr1 0.0169 0.2500 0.0669
Te1 0.1138 0.7500 0.1753
Te2 0.1709 0.2500 0.9486
I1 0.0716 0.2500 0.6264


# LaOsBr2 (PBE-GGA, optimized geometry)
# total DFT energy (no corrections): -19.91 eV for the cell shown
# excess energy over the best structure of this formula in the dataset: 380 meV per atom
# N(E_F): 4.3 states/eV/f.u.
# raw formation energy: -0.102 eV/atom
# V: 27.95 Å³ per atom
data_LaOsBr2
_chemical_formula_sum 'La1 Os1 Br2'
_cell_length_a 3.6233
_cell_length_b 3.6233
_cell_length_c 8.5148
_cell_angle_alpha 90.00
_cell_angle_beta 90.00
_cell_angle_gamma 90.00
_space_group_name_H-M_alt 'P 4 m m'
_space_group_IT_number 99
loop_
_space_group_symop_operation_xyz
'x,y,z'
'-y,x,z'
'-x,-y,z'
'y,-x,z'
'-x,y,z'
'y,x,z'
'x,-y,z'
'-y,-x,z'
loop_
_atom_site_label
_atom_site_fract_x
_atom_site_fract_y
_atom_site_fract_z
La1 0.0000 0.0000 0.0000
Os1 0.5000 0.5000 0.2224
Br1 0.0000 0.0000 0.3689
Br2 0.5000 0.5000 0.7690


# Ho4Bi8Rh3 (PBE-GGA, optimized geometry)
# formation energy: -538 meV per atom
# total DFT energy (no corrections): -79.48 eV for the cell shown
# N(E_F): 12.8 states/eV/f.u.
# V: 26.31 Å³ per atom
data_Ho4Bi8Rh3
_chemical_formula_sum 'Ho4 Bi8 Rh3'
_cell_length_a 4.6078
_cell_length_b 4.6078
_cell_length_c 18.5861
_cell_angle_alpha 90.00
_cell_angle_beta 90.00
_cell_angle_gamma 90.00
_space_group_name_H-M_alt 'P -4 m 2'
_space_group_IT_number 115
loop_
_space_group_symop_operation_xyz
'x,y,z'
'y,-x,-z'
'-x,-y,z'
'-y,x,-z'
'-x,y,z'
'-y,-x,-z'
'x,-y,z'
'y,x,-z'
loop_
_atom_site_label
_atom_site_fract_x
_atom_site_fract_y
_atom_site_fract_z
Ho1 0.0000 0.5000 0.1074
Ho2 0.0000 0.5000 0.6101
Bi1 0.0000 0.0000 0.2484
Bi2 0.0000 0.5000 0.4134
Bi3 0.0000 0.5000 0.9223
Bi4 0.5000 0.5000 0.2468
Rh1 0.0000 0.0000 0.0000
Rh2 0.0000 0.0000 0.5000
Rh3 0.5000 0.5000 0.5000